CaCrNO2: relaxed, GGA+U. Values from VASP.

Values from the calculation:
energy = -26.12 eV/cell
calculated volume = 84.3 Å³ per cell
space-group type = No. 123

Structure (Quantum ESPRESSO input):
```
&SYSTEM
  ibrav = 0, nat = 5, ntyp = 4
/
ATOMIC_SPECIES
Cr 52.00 Cr.upf
N 14.01 N.upf
O 16.00 O.upf
Ca 40.08 Ca.upf
CELL_PARAMETERS angstrom
-0.275 0.431 -4.248
-3.983 -1.559 0.100
-1.655 4.262 0.539
ATOMIC_POSITIONS crystal
Cr 0.500 0.500 0.500
N 0.000 0.000 0.500
O 0.500 0.000 0.000
O 0.000 0.500 0.000
Ca 0.000 0.000 0.000
```